## i
Below is an optimized crystal structure of Na2U2Te5, with properties calculated at the GGA-PBE level.

Values from the calculation:
D(E_F)	7.35	states/eV per cell

Unit cell a=5.5061 b=5.5056 c=9.6990 alpha=100.63 beta=100.63 gamma=110.49
With the nearest neighbours (Å) after each atom.
Element x y z (fractional)
1 Te 0.6420 0.1420 0.2841  2 Te 3.14, 2 U 3.19, 4 Na 3.36-3.43
2 Na 0.7533 0.7533 0.5066  2 Na 3.14, 8 Te 3.36-3.43
3 U 0.3546 0.6454 0.0000  1 U 2.63
4 Te 0.8580 0.3580 0.7159  2 Te 3.14, 2 U 3.19, 4 Na 3.36-3.43
5 U 0.6454 0.3546 0.0000  1 U 2.63
6 Te 0.3580 0.8580 0.7159  2 Te 3.14, 2 U 3.19, 4 Na 3.36-3.43
7 Te 0.1420 0.6420 0.2841  2 Te 3.14, 2 U 3.19, 4 Na 3.36-3.43
8 Te 0.0000 0.0000 0.0000  6 U 3.21-3.40
9 Na 0.2467 0.2467 0.4934  2 Na 3.14, 8 Te 3.36-3.43

## ii
Below is an optimized crystal structure of Na2U2Te5, with properties calculated at the GGA-PBE level.

Values from the calculation:
D(E_F)	19.03	states/eV per cell

Unit cell a=8.3331 b=8.2810 c=9.0228 alpha=117.32 beta=90.00 gamma=90.00
With the nearest neighbours (Å) after each atom.
Element x y z (fractional)
1 Te 0.8506 0.5236 0.7456  3 U 3.10-3.23, 3 Na 3.26-3.40
2 U 0.6519 0.8491 0.0000  8 Te 3.10-3.23
3 Te 0.1494 0.4764 0.2544  3 U 3.10-3.23, 3 Na 3.26-3.40
4 Te 0.3506 0.9764 0.2544  3 U 3.10-3.23, 3 Na 3.26-3.40
5 Te 0.6494 0.0236 0.7456  3 U 3.10-3.23, 3 Na 3.26-3.40
6 Te 0.0000 0.0000 0.0000  4 U 3.16, 2 Na 3.24
7 Te 0.3506 0.7221 0.7456  3 U 3.10-3.23, 3 Na 3.26-3.40
8 U 0.3481 0.1509 0.0000  8 Te 3.10-3.23
9 Na 0.5000 0.2981 0.5963  7 Te 3.24-3.40
10 Na 0.0000 0.7981 0.5963  7 Te 3.24-3.40
11 Te 0.1494 0.2221 0.7456  3 U 3.10-3.23, 3 Na 3.26-3.40
12 U 0.8481 0.3491 0.0000  8 Te 3.10-3.23
13 U 0.1519 0.6509 0.0000  8 Te 3.10-3.23
14 Te 0.6494 0.2779 0.2544  3 U 3.10-3.23, 3 Na 3.26-3.40
15 Na 0.0000 0.2019 0.4037  7 Te 3.24-3.40
16 Na 0.5000 0.7019 0.4037  7 Te 3.24-3.40
17 Te 0.5000 0.5000 0.0000  4 U 3.16, 2 Na 3.24
18 Te 0.8506 0.7779 0.2544  3 U 3.10-3.23, 3 Na 3.26-3.40

Q: Which of them is the least stable? A: i.

## i
Below is an optimized crystal structure of NaV4Te8, with properties calculated at the GGA-PBE level.

Values from the calculation:
D(E_F)	8.08	states/eV per cell

Unit cell a=7.9724 b=7.9724 c=7.9724 alpha=60.00 beta=60.00 gamma=60.00
With the nearest neighbours (Å) after each atom.
Element x y z (fractional)
1 V 0.3590 0.3590 0.9229  6 Te 2.70-2.84
2 Te 0.1211 0.6366 0.1211  3 V 2.70
3 Te 0.6059 0.6059 0.1824  1 Na 2.81, 3 V 2.84
4 Te 0.1211 0.1211 0.6366  3 V 2.70
5 V 0.3590 0.3590 0.3590  6 Te 2.70-2.84
6 V 0.9229 0.3590 0.3590  6 Te 2.70-2.84
7 Te 0.6059 0.1824 0.6059  1 Na 2.81, 3 V 2.84
8 V 0.3590 0.9229 0.3590  6 Te 2.70-2.84
9 Te 0.6059 0.6059 0.6059  1 Na 2.81, 3 V 2.84
10 Te 0.6366 0.1211 0.1211  3 V 2.70
11 Te 0.1824 0.6059 0.6059  1 Na 2.81, 3 V 2.84
12 Na 0.7500 0.7500 0.7500  4 Te 2.81
13 Te 0.1211 0.1211 0.1211  3 V 2.70

## ii
Below is an optimized crystal structure of NaV4Te8, with properties calculated at the GGA-PBE level.

Values from the calculation:
D(E_F)	7.54	states/eV per cell

Unit cell a=7.3251 b=7.3251 c=9.3911 alpha=90.00 beta=112.96 gamma=120.00
With the nearest neighbours (Å) after each atom.
Element x y z (fractional)
1 V 0.0000 0.0000 0.0000  6 Te 2.72
2 Te 0.9702 0.2344 0.2046  3 V 2.72-2.73
3 Te 0.4694 0.7347 0.2041  3 V 2.72
4 Na 0.0000 0.5000 0.5000  6 Te 3.26
5 V 0.0000 0.5000 0.0000  6 Te 2.72-2.73
6 V 0.5000 0.0000 0.0000  6 Te 2.72-2.73
7 Te 0.5306 0.2653 0.7959  3 V 2.72
8 Te 0.0298 0.2642 0.7954  3 V 2.72-2.73
9 Te 0.4689 0.2344 0.2046  3 V 2.72-2.73
10 V 0.5000 0.5000 0.0000  6 Te 2.72-2.73
11 Te 0.0298 0.7656 0.7954  3 V 2.72-2.73
12 Te 0.5311 0.7656 0.7954  3 V 2.72-2.73
13 Te 0.9702 0.7358 0.2046  3 V 2.72-2.73

Q: Which of them is the least stable? A: i.

## i
Below is an optimized crystal structure of Na3VTe, with properties calculated at the GGA-PBE level.

Values from the calculation:
D(E_F)	13.39	states/eV per cell

Unit cell a=5.8873 b=5.8873 c=5.8873 alpha=90.00 beta=90.00 gamma=90.00
With the nearest neighbours (Å) after each atom.
Element x y z (fractional)
1 V 0.5000 0.5000 0.5000  12 Na 4.16
2 Te 0.0000 0.0000 0.0000  6 Na 2.94
3 Na 0.0000 0.5000 0.0000  2 Te 2.94
4 Na 0.5000 0.0000 0.0000  2 Te 2.94
5 Na 0.0000 0.0000 0.5000  2 Te 2.94

## ii
Below is an optimized crystal structure of Na3VTe, with properties calculated at the GGA-PBE level.

Values from the calculation:
D(E_F)	10.81	states/eV per cell

Unit cell a=5.6395 b=5.6395 c=5.6395 alpha=90.00 beta=90.00 gamma=90.00
With the nearest neighbours (Å) after each atom.
Element x y z (fractional)
1 Te 0.5000 0.5000 0.5000  12 Na 3.99
2 Na 0.0000 0.0000 0.5000  2 V 2.82
3 Na 0.0000 0.5000 0.0000  2 V 2.82
4 Na 0.5000 0.0000 0.0000  2 V 2.82
5 V 0.0000 0.0000 0.0000  6 Na 2.82

Q: Which of them is the least stable? A: ii.